Density functional theory data (PBE-GGA) for a relaxed Li4MnIn crystal.

## Properties
- Energy of formation from the pure elements: 0.0687 eV/atom
- Total moment: 0.62 μB per atom
- VASP energy: -3.19 eV per atom

CIF file:
```
data_Li4MnIn
_cell_length_a 7.298
_cell_length_b 7.298
_cell_length_c 7.298
_cell_angle_alpha 90.00
_cell_angle_beta 90.00
_cell_angle_gamma 90.00
_space_group_name_H-M_alt 'F -4 3 m'
_space_group_IT_number 216
_space_group_name_Hall 'F -4 2 3'
loop_
_atom_site_label
_atom_site_fract_x
_atom_site_fract_y
_atom_site_fract_z
Li1 0.125 0.125 0.125
Mn1 0.250 0.250 0.750
In1 0.000 0.000 0.500
```

=====

Density functional theory data (PBE-GGA) for a relaxed LiMn2In crystal.

## Properties
- Energy of formation from the pure elements: 0.1132 eV/atom
- Total moment: 0.13 μB per atom
- VASP energy: -5.63 eV per atom

CIF file:
```
data_LiMn2In
_cell_length_a 3.149
_cell_length_b 3.149
_cell_length_c 6.309
_cell_angle_alpha 90.00
_cell_angle_beta 90.00
_cell_angle_gamma 90.00
_space_group_name_H-M_alt 'P 4 m m'
_space_group_IT_number 99
loop_
_space_group_symop_operation_xyz
'x,y,z'
'-y,x,z'
'-x,-y,z'
'y,-x,z'
'-x,y,z'
'y,x,z'
'x,-y,z'
'-y,-x,z'
loop_
_atom_site_label
_atom_site_fract_x
_atom_site_fract_y
_atom_site_fract_z
Li1 0.000 0.000 0.000
Mn1 0.000 0.000 0.441
Mn2 0.500 0.500 0.258
In1 0.500 0.500 0.733
```

=====

Density functional theory data (PBE-GGA) for a relaxed LiMn2In crystal.

## Properties
- Energy of formation from the pure elements: 0.2553 eV/atom
- Total moment: 1.67 μB per atom
- VASP energy: -5.49 eV per atom

CIF file:
```
data_LiMn2In
_cell_length_a 9.455
_cell_length_b 2.920
_cell_length_c 4.845
_cell_angle_alpha 90.00
_cell_angle_beta 103.25
_cell_angle_gamma 90.00
_space_group_name_H-M_alt 'C 1 m 1'
_space_group_IT_number 8
loop_
_space_group_symop_operation_xyz
'x,y,z'
'x,-y,z'
'x+1/2,y+1/2,z'
'x+1/2,-y+1/2,z'
loop_
_atom_site_label
_atom_site_fract_x
_atom_site_fract_y
_atom_site_fract_z
Li1 0.000 0.000 0.000
Mn1 0.010 0.500 0.527
Mn2 0.244 0.000 0.732
In1 0.256 0.500 0.241
```

=====

Density functional theory data (PBE-GGA) for a relaxed Li2MnIn crystal.

## Properties
- Energy of formation from the pure elements: 0.2284 eV/atom
- Total moment: 1.05 μB per atom
- VASP energy: -3.71 eV per atom

CIF file:
```
data_Li2MnIn
_cell_length_a 3.0893
_cell_length_b 3.0893
_cell_length_c 27.9765
_cell_angle_alpha 90.00
_cell_angle_beta 90.00
_cell_angle_gamma 120.00
_space_group_name_H-M_alt 'R -3 m'
_space_group_IT_number 166
_space_group_name_Hall '-R 3 2"'
loop_
_atom_site_label
_atom_site_fract_x
_atom_site_fract_y
_atom_site_fract_z
Li1 0.0000 0.0000 0.2489
Mn1 0.0000 0.0000 0.5000
In1 0.0000 0.0000 0.0000
```

=====

Density functional theory data (PBE-GGA) for a relaxed LiMn4In crystal.

## Properties
- Energy of formation from the pure elements: 0.3266 eV/atom
- Total moment: 0.01 μB per atom
- VASP energy: -6.56 eV per atom

CIF file:
```
data_LiMn4In
_cell_length_a 6.784
_cell_length_b 6.784
_cell_length_c 6.784
_cell_angle_alpha 90.00
_cell_angle_beta 90.00
_cell_angle_gamma 90.00
_space_group_name_H-M_alt 'F -4 3 m'
_space_group_IT_number 216
_space_group_name_Hall 'F -4 2 3'
loop_
_atom_site_label
_atom_site_fract_x
_atom_site_fract_y
_atom_site_fract_z
Li1 0.000 0.000 0.000
Mn1 0.126 0.126 0.626
In1 0.250 0.250 0.250
```

=====

Density functional theory data (PBE-GGA) for a relaxed LiMnIn4 crystal.

## Properties
- Energy of formation from the pure elements: 0.3092 eV/atom
- Total moment: 0.72 μB per atom
- VASP energy: -3.36 eV per atom

CIF file:
```
data_LiMnIn4
_cell_length_a 8.451
_cell_length_b 8.451
_cell_length_c 8.451
_cell_angle_alpha 90.00
_cell_angle_beta 90.00
_cell_angle_gamma 90.00
_space_group_name_H-M_alt 'F -4 3 m'
_space_group_IT_number 216
_space_group_name_Hall 'F -4 2 3'
loop_
_atom_site_label
_atom_site_fract_x
_atom_site_fract_y
_atom_site_fract_z
Li1 0.000 0.000 0.000
Mn1 0.250 0.250 0.750
In1 0.125 0.125 0.375
```